Compound: Ti12Ni5N2
Source: the Alexandria database
Functional: PBE
Structure: optimized geometry

## Properties
SG ... No. 12
VASP energy ... -7.817 eV/atom
Raw formation energy ... -0.433 eV/atom

```
Ti12Ni5N2
1.0
5.924 0.000 0.000
-2.962 7.535 -0.184
0.000 -2.723 6.175
Ti Ni N
12 5 2
direct
0.495 0.989 0.235 Ti
0.892 0.281 0.642 Ti
0.505 0.011 0.765 Ti
0.389 0.281 0.642 Ti
0.890 0.299 0.162 Ti
0.110 0.701 0.838 Ti
0.590 0.701 0.838 Ti
0.978 0.956 0.163 Ti
0.611 0.719 0.358 Ti
0.108 0.719 0.358 Ti
0.022 0.044 0.837 Ti
0.410 0.299 0.162 Ti
0.746 0.493 0.970 Ni
0.254 0.507 0.030 Ni
0.737 0.475 0.511 Ni
0.263 0.525 0.489 Ni
0.000 0.000 0.500 Ni
0.270 0.000 0.000 N
0.730 0.000 0.000 N
```